No. 1
DFT (PBE-GGA) results for a geometry-optimized PbW2Cl structure.

a b c (Å): 2.9921 3.7620 6.6449
angles (deg): 90.00 90.00 90.00
Fractional coordinates of all 4 atoms:
Pb  0.0000  0.0000  0.0000
W  0.5000  0.5000  0.3103
W  0.5000  0.5000  0.6897
Cl  0.0000  0.0000  0.5000

Computed properties:
Total moment = 0.00 μB/cell
ΔE_f (raw) = 1.350 eV per atom
DFT total energy = -6.5157 eV per atom
DOS at the Fermi energy = 2.653 states/eV per cell

=====

No. 2
DFT (PBE-GGA) results for a geometry-optimized TbPuMg2 structure.

a b c (Å): 4.6886 4.6886 4.8902
angles (deg): 90.00 90.00 90.00
Fractional coordinates of all 4 atoms:
Tb  0.0000  0.0000  0.0000
Pu  0.5000  0.5000  0.0000
Mg  0.0000  0.5000  0.5000
Mg  0.5000  0.0000  0.5000

Computed properties:
Total moment = 6.32 μB/cell
DFT total energy = -5.4075 eV per atom
DOS at the Fermi energy = 12.497 states/eV per cell
ΔH_f (0 K) = 0.5 eV per formula unit

=====

Repeat the second record exactly.
DFT (PBE-GGA) results for a geometry-optimized TbPuMg2 structure.

a b c (Å): 4.6886 4.6886 4.8902
angles (deg): 90.00 90.00 90.00
Fractional coordinates of all 4 atoms:
Tb  0.0000  0.0000  0.0000
Pu  0.5000  0.5000  0.0000
Mg  0.0000  0.5000  0.5000
Mg  0.5000  0.0000  0.5000

Computed properties:
Total moment = 6.32 μB/cell
DFT total energy = -5.4075 eV per atom
DOS at the Fermi energy = 12.497 states/eV per cell
ΔH_f (0 K) = 0.5 eV per formula unit

=====

> DFT total energy of number 2 (TbPuMg2)?

-5.4075 eV per atom